Compound: K2Cr2SiSe6
Source: Alexandria
Functional: PBE
Structure: optimized geometry

a = 6.434 Å, b = 6.434 Å, c = 8.078 Å
α = 97.93°, β = 97.93°, γ = 120.17°
Atoms (fractional coordinates):
K: 0.169 0.831 0.000
K: 0.831 0.169 0.000
Cr: 0.332 0.668 0.500
Cr: 0.668 0.332 0.500
Si: 0.000 0.000 0.500
Se: 0.062 0.387 0.675
Se: 0.265 0.265 0.326
Se: 0.387 0.062 0.675
Se: 0.613 0.938 0.325
Se: 0.735 0.735 0.674
Se: 0.938 0.613 0.325

Calculated values
Total moment = 0.55 μB/atom
Formation energy (no corrections) = -0.74 eV/atom
VASP energy = -55.91 eV per cell